{"formula": "USiSb", "functional": "GGA-PBE", "state": "relaxed", "de_polymorph_mev_per_atom": 97, "spacegroup": "F-43m (216)", "m_tot_mub_per_cell": 1.74, "e_tot_ev_per_atom": -6.60, "cell": [[0.000, 3.436, 3.436], [3.436, 0.000, 3.436], [3.436, 3.436, 0.000]], "species": ["U", "Si", "Sb"], "frac_coords": [[0.000, 0.000, 0.000], [0.250, 0.250, 0.250], [0.750, 0.750, 0.750]]}